(1)
Entry from Alexandria via LeMat-Bulk: a crystal of CdCu2Au2 relaxed with PBEsol (SCAN).

Cell lengths 2.935, 7.348, 7.348 Å; angles 90.00, 90.00, 90.00 degrees
Positions (direct):
Au: 0.000 0.363 0.863
Au: 0.000 0.863 0.637
Au: 0.000 0.637 0.137
Au: 0.000 0.137 0.363
Cu: 0.500 0.160 0.660
Cu: 0.500 0.660 0.840
Cu: 0.500 0.840 0.340
Cu: 0.500 0.340 0.160
Cd: 0.000 0.000 0.000
Cd: 0.000 0.500 0.500

Theoretical density (g/cm3): 13.3
Calculated volume (Å³ per cell): 158
N(E_F) (states/eV/cell): 3.32
Formation energy (eV per atom): -0.06
Total energy (eV/atom): -39.884

(2)
Entry from Alexandria via LeMat-Bulk: a crystal of CdCuAu2 relaxed with PBEsol (SCAN).

Cell lengths 2.989, 4.771, 4.771 Å; angles 106.90, 90.00, 90.00 degrees
Positions (direct):
Au: 0.000 0.500 0.000
Au: 0.000 0.000 0.500
Cu: 0.500 0.500 0.500
Cd: 0.500 0.000 0.000

Theoretical density (g/cm3): 14.5
Calculated volume (Å³ per cell): 65
N(E_F) (states/eV/cell): 1.22
Formation energy (eV per atom): -0.10
Total energy (eV/atom): -46.078